This record from OQMD describes a relaxed Pr2YPd2PtPb3 crystal. The functional is PBE.

Lattice parameters (Å, degrees): 4.0891 7.8338 7.8338 119.88 90.00 90.00
With the nearest neighbours (Å) after each atom.
Sites, in units of the cell vectors:
Pr  0.0000  0.2011  0.7989  4 Pd 3.16-3.17, 1 Pt 3.17, 6 Pb 3.33-3.46
Pr  0.0000  0.7989  0.2011  4 Pd 3.16-3.17, 1 Pt 3.17, 6 Pb 3.33-3.46
Y  0.0000  0.3996  0.3996  1 Pt 3.09, 4 Pd 3.11, 6 Pb 3.35-3.42
Pd  0.5000  0.1373  0.4628  3 Pb 2.90-3.00, 2 Y 3.11, 4 Pr 3.16-3.17
Pd  0.5000  0.4628  0.1373  3 Pb 2.90-3.00, 2 Y 3.11, 4 Pr 3.16-3.17
Pt  0.0000  0.7938  0.7938  6 Pb 2.88-2.93, 1 Y 3.09, 2 Pr 3.17
Pb  0.5000  0.0610  0.0610  2 Pd 2.90, 2 Pt 2.93
Pb  0.5000  0.5355  0.7960  2 Pt 2.88, 2 Pd 2.90-3.00
Pb  0.5000  0.7960  0.5355  2 Pt 2.88, 2 Pd 2.90-3.00

Total DFT energy (no corrections) (eV per atom): -5.582
Magnetic moment (μB/atom): 0.0000
Calculated volume (Å³ per cell): 217.58
SG: Amm2